Ti2Ni3Ru | PBE-GGA | relaxed

Unit cell a=8.0857 b=8.0857 c=10.0871 alpha=90.00 beta=90.00 gamma=90.00
With the nearest neighbours (Å) after each atom.
Space group I4_1/amd (No. 141, origin choice 2)
One atom of each set of equivalent atoms:
Ti 0.0000 0.0634 0.2611 (multiplicity 16)  7 Ni 2.40-2.58, 2 Ru 2.56-2.63
Ni 0.0000 0.0000 0.5000 (multiplicity 8)  6 Ti 2.46-2.52, 4 Ni 2.55
Ni 0.2271 0.0229 0.8750 (multiplicity 16)  4 Ti 2.40-2.58, 4 Ni 2.55
Ru 0.0000 0.2500 0.0472 (multiplicity 8)  4 Ti 2.56-2.63

Computed properties:
V ... 659.5 Å³/cell
ΔE_f ... -14 kJ per mole of atoms
Density ... 7.511 g/cm³
Magnetization ... 0.00 μB per cell